Entry 1:
A relaxed YReTc2F crystal, computed with GGA-PBE.

The calculation puts the uncorrected formation energy at 365 kJ/mol of formula units. For the density of states at the Fermi level, the calculation gives 8.43 states/eV per cell. Its total DFT energy (no corrections) is -7.55 eV per atom.

It has space group P4/mmm (No. 123), with a = 4.4873 Å, b = 4.4873 Å, c = 4.1092 Å, α = 90.00°, β = 90.00° and γ = 90.00°. The asymmetric unit holds Y at (0.0000, 0.0000, 0.0000), Re at (0.5000, 0.5000, 0.0000), Tc at (0.0000, 0.5000, 0.5000) and F at (0.5000, 0.5000, 0.5000).

***

Entry 2:
A relaxed YRe2TcF crystal, computed with GGA-PBE.

The calculation puts the uncorrected formation energy at 279 kJ/mol of formula units. For the density of states at the Fermi level, the calculation gives 7.13 states/eV per cell. Its total DFT energy (no corrections) is -8.14 eV per atom.

It has space group P4/mmm (No. 123), with a = 4.8171 Å, b = 4.8171 Å, c = 4.1236 Å, α = 90.00°, β = 90.00° and γ = 90.00°. The asymmetric unit holds Y at (0.0000, 0.0000, 0.0000), Re at (0.0000, 0.5000, 0.5000), Tc at (0.5000, 0.5000, 0.5000) and F at (0.5000, 0.5000, 0.0000).

***

Entry 3:
A relaxed ReTe3F crystal, computed with GGA-PBE.

The calculation puts the uncorrected formation energy at 178 kJ/mol of formula units. The value obtained for the energy above the lowest structure with this stoichiometry is 0.000 eV/atom. For the density of states at the Fermi level, the calculation gives 5.18 states/eV per cell. Its total DFT energy (no corrections) is -4.38 eV per atom.

It has space group Pm-3m (No. 221), with a = 5.1880 Å, b = 5.1880 Å, c = 5.1880 Å, α = 90.00°, β = 90.00° and γ = 90.00°. The asymmetric unit holds Re at (0.0000, 0.0000, 0.0000), Te at (0.0000, 0.0000, 0.5000) and F at (0.5000, 0.5000, 0.5000).

***

Entry 4:
A relaxed ReTeF2 crystal, computed with GGA-PBE.

The calculation puts the uncorrected formation energy at -95 kJ/mol of formula units. The value obtained for the energy above the lowest structure with this stoichiometry is 0.526 eV/atom. For the density of states at the Fermi level, the calculation gives 11.55 states/eV per cell. Its total DFT energy (no corrections) is -5.08 eV per atom.

It has space group I-42d (No. 122), with a = 3.9215 Å, b = 3.9215 Å, c = 16.3131 Å, α = 90.00°, β = 90.00° and γ = 90.00°. The asymmetric unit holds Re at (0.0000, 0.0000, 0.0000), Te at (0.0000, 0.0000, 0.5000) and F at (0.1807, 0.2500, 0.1250).

***

Entry 5:
A relaxed Re3TeF crystal, computed with GGA-PBE.

The calculation puts the uncorrected formation energy at 795 kJ/mol of formula units. The value obtained for the energy above the lowest structure with this stoichiometry is 0.000 eV/atom. For the density of states at the Fermi level, the calculation gives 7.24 states/eV per cell. Its total DFT energy (no corrections) is -6.82 eV per atom.

It has space group Pm-3m (No. 221), with a = 4.3380 Å, b = 4.3380 Å, c = 4.3380 Å, α = 90.00°, β = 90.00° and γ = 90.00°. The asymmetric unit holds Re at (0.0000, 0.0000, 0.5000), Te at (0.5000, 0.5000, 0.5000) and F at (0.0000, 0.0000, 0.0000).

***

Entry 6:
A relaxed Re2TeF crystal, computed with GGA-PBE.

The calculation puts the uncorrected formation energy at 268 kJ/mol of formula units. The value obtained for the energy above the lowest structure with this stoichiometry is 0.322 eV/atom. For the density of states at the Fermi level, the calculation gives 20.18 states/eV per cell. Its total DFT energy (no corrections) is -6.78 eV per atom.

It has space group Fm-3m (No. 225), with a = 6.2574 Å, b = 6.2574 Å, c = 6.2574 Å, α = 90.00°, β = 90.00° and γ = 90.00°. The asymmetric unit holds Re at (0.2500, 0.2500, 0.2500), Te at (0.0000, 0.0000, 0.0000) and F at (0.0000, 0.0000, 0.5000).

***

Entry 7:
A relaxed ReTeF2 crystal, computed with GGA-PBE.

The calculation puts the uncorrected formation energy at -298 kJ/mol of formula units. The value obtained for the energy above the lowest structure with this stoichiometry is 0.000 eV/atom. For the density of states at the Fermi level, the calculation gives 8.48 states/eV per cell. Its total DFT energy (no corrections) is -5.61 eV per atom.

It has space group R-3m (No. 166, hexagonal axes), with a = 2.9154 Å, b = 2.9154 Å, c = 30.8697 Å, α = 90.00°, β = 90.00° and γ = 120.00°. The asymmetric unit holds Re at (0.0000, 0.0000, 0.0000), Te at (0.0000, 0.0000, 0.5000) and F at (0.0000, 0.0000, 0.0612).

***

Entry 8:
A relaxed Re3TeF crystal, computed with GGA-PBE.

The calculation puts the uncorrected formation energy at 1326 kJ/mol of formula units. The value obtained for the energy above the lowest structure with this stoichiometry is 1.099 eV/atom. For the density of states at the Fermi level, the calculation gives 6.00 states/eV per cell. Its total DFT energy (no corrections) is -5.72 eV per atom.

It has space group Pm-3m (No. 221), with a = 4.9159 Å, b = 4.9159 Å, c = 4.9159 Å, α = 90.00°, β = 90.00° and γ = 90.00°. The asymmetric unit holds Re at (0.0000, 0.0000, 0.5000), Te at (0.0000, 0.0000, 0.0000) and F at (0.5000, 0.5000, 0.5000).

***

Entry 9:
A relaxed ReTe3F crystal, computed with GGA-PBE.

The calculation puts the uncorrected formation energy at 503 kJ/mol of formula units. The value obtained for the energy above the lowest structure with this stoichiometry is 0.674 eV/atom. For the density of states at the Fermi level, the calculation gives 3.26 states/eV per cell. Its total DFT energy (no corrections) is -3.71 eV per atom.

It has space group Pm-3m (No. 221), with a = 4.7712 Å, b = 4.7712 Å, c = 4.7712 Å, α = 90.00°, β = 90.00° and γ = 90.00°. The asymmetric unit holds Re at (0.0000, 0.0000, 0.0000), Te at (0.0000, 0.5000, 0.5000) and F at (0.5000, 0.5000, 0.5000).

***

Entry 10:
A relaxed ReTeF2 crystal, computed with GGA-PBE.

The calculation puts the uncorrected formation energy at 72 kJ/mol of formula units. The value obtained for the energy above the lowest structure with this stoichiometry is 0.960 eV/atom. For the density of states at the Fermi level, the calculation gives 3.15 states/eV per cell. Its total DFT energy (no corrections) is -4.65 eV per atom.

It has space group Fm-3m (No. 225), with a = 6.2822 Å, b = 6.2822 Å, c = 6.2822 Å, α = 90.00°, β = 90.00° and γ = 90.00°. The asymmetric unit holds Re at (0.0000, 0.0000, 0.0000), Te at (0.0000, 0.0000, 0.5000) and F at (0.2500, 0.2500, 0.2500).

***

Entry 11:
A relaxed Re2TeF crystal, computed with GGA-PBE.

The calculation puts the uncorrected formation energy at 144 kJ/mol of formula units. The value obtained for the energy above the lowest structure with this stoichiometry is 0.000 eV/atom. For the density of states at the Fermi level, the calculation gives 7.60 states/eV per cell. Its total DFT energy (no corrections) is -7.10 eV per atom.

It has space group I-42d (No. 122), with a = 4.1313 Å, b = 4.1313 Å, c = 16.5446 Å, α = 90.00°, β = 90.00° and γ = 90.00°. The asymmetric unit holds Re at (0.1652, 0.2500, 0.1250), Te at (0.0000, 0.0000, 0.5000) and F at (0.0000, 0.0000, 0.0000).

***

Entry 12:
A relaxed ZnReTeF2 crystal, computed with GGA-PBE.

The calculation puts the uncorrected formation energy at -212 kJ/mol of formula units. For the density of states at the Fermi level, the calculation gives 3.85 states/eV per cell. Its total DFT energy (no corrections) is -4.56 eV per atom.

It has space group P4/mmm (No. 123), with a = 3.8836 Å, b = 3.8836 Å, c = 6.0512 Å, α = 90.00°, β = 90.00° and γ = 90.00°. The asymmetric unit holds Zn at (0.0000, 0.0000, 0.0000), Re at (0.0000, 0.0000, 0.5000), Te at (0.5000, 0.5000, 0.5000) and F at (0.0000, 0.5000, 0.0000).

***

Entry 13:
A relaxed Ti2ReF crystal, computed with GGA-PBE.

The calculation puts the uncorrected formation energy at -111 kJ/mol of formula units. The value obtained for the energy above the lowest structure with this stoichiometry is 0.277 eV/atom. For the density of states at the Fermi level, the calculation gives 13.64 states/eV per cell. Its total DFT energy (no corrections) is -7.81 eV per atom.

It has space group Fm-3m (No. 225), with a = 6.1641 Å, b = 6.1641 Å, c = 6.1641 Å, α = 90.00°, β = 90.00° and γ = 90.00°. The asymmetric unit holds Ti at (0.2500, 0.2500, 0.2500), Re at (0.0000, 0.0000, 0.0000) and F at (0.0000, 0.0000, 0.5000).

***

Entry 14:
A relaxed Ti2ReF crystal, computed with GGA-PBE.

The calculation puts the uncorrected formation energy at -218 kJ/mol of formula units. The value obtained for the energy above the lowest structure with this stoichiometry is 0.000 eV/atom. For the density of states at the Fermi level, the calculation gives 12.10 states/eV per cell. Its total DFT energy (no corrections) is -8.09 eV per atom.

It has space group I-42d (No. 122), with a = 6.0697 Å, b = 6.0697 Å, c = 6.5279 Å, α = 90.00°, β = 90.00° and γ = 90.00°. The asymmetric unit holds Ti at (0.1876, 0.2500, 0.1250), Re at (0.0000, 0.0000, 0.5000) and F at (0.0000, 0.0000, 0.0000).

***

What are the total moment values for these records? In order: 1.5, 0.0, 0.0, 1.5, 2.1, 0.0, 0.0, 4.1, 0.0, 3.0, 0.0, 2.1, 0.0, 0.0 μB/f.u..